Compound: ZrNpZn4
Source: the Alexandria database
Functional: GGA-PBE
Structure: optimized geometry

Results
crystal system = cubic
electronic total energy = -26.9 eV/cell
M_tot = 4.394 Bohr magnetons per cell
formation energy = -0.05 eV/atom

Lattice parameters (Å, degrees): 5.335 5.335 5.335 60.00 60.00 60.00
Atoms (fractional coordinates):
Np  0.000  0.000  0.000
Zn  0.624  0.624  0.128
Zn  0.624  0.128  0.624
Zn  0.624  0.624  0.624
Zn  0.128  0.624  0.624
Zr  0.250  0.250  0.250